Here is a relaxed structure of MnBeOs from the Alexandria database. Energies are from PBE.

Energy above the lowest structure with this stoichiometry (meV per atom): 163
Formation enthalpy at 0 K (meV/atom): -8

a b c (Å): 2.701 5.322 5.045
angles (deg): 74.20 74.47 75.30
Sites, in units of the cell vectors:
Os 0.150 0.927 0.772
Be 0.113 0.324 0.450
Be 0.887 0.676 0.550
Mn 0.395 0.377 0.834
Mn 0.605 0.623 0.166
Os 0.850 0.073 0.228